Entry 1:
Nd4Ge3S12: optimized geometry, PBE.

a b c (Å): 19.5199 19.5199 8.0142
angles (deg): 90.00 90.00 120.00
Last column: nearest neighbours and their distance in Å.
Space group R3c (No. 161, hexagonal axes)
Asymmetric unit:
Nd 0.0000 0.0000 0.0000 x6  6 S 2.89
Nd 0.0061 0.2345 0.2149 x18  7 S 2.87-3.06
Ge 0.1468 0.4679 0.3285 x18  4 S 2.22-2.27
S 0.0636 0.3926 0.5296 x18  1 Ge 2.24
S 0.0882 0.2019 0.5045 x18  1 Ge 2.22
S 0.1234 0.0596 0.2500 x18  1 Ge 2.27
S 0.1521 0.3792 0.1635 x18  1 Ge 2.22

Total moment: 0.000 Bohr magnetons per cell
Raw formation energy: -1.2461 eV per atom
Final energy: -5.586 eV per atom

---

Entry 2:
Zn2RePb: optimized geometry, PBE.

a b c (Å): 4.9231 4.9231 2.9277
angles (deg): 90.00 90.00 90.00
Last column: nearest neighbours and their distance in Å.
Space group P4/mmm (No. 123)
Asymmetric unit:
Zn 0.0000 0.5000 0.0000 x2  4 Pb 2.86, 4 Re 2.86, 2 Zn 2.93
Re 0.0000 0.0000 0.5000 x1  8 Zn 2.86, 2 Re 2.93
Pb 0.5000 0.5000 0.5000 x1  8 Zn 2.86, 2 Pb 2.93

Energy relative to the elements: 2.64 eV/f.u.
Total moment: 0.000 Bohr magnetons per cell
Final energy: -4.015 eV per atom

---

Entry 3:
CaHg2F11: optimized geometry, PBE.

a b c (Å): 8.9214 10.3313 10.6262
angles (deg): 90.00 90.00 90.00
Last column: nearest neighbours and their distance in Å.
Space group Ibam (No. 72)
Asymmetric unit:
Ca 0.0000 0.0000 0.2500 x4  8 F 2.36-2.44
Hg 0.2058 0.2843 0.0000 x8  4 F 2.03-2.04
F 0.0000 0.5000 0.0000 x4  2 F 1.72
F 0.0655 0.3430 0.5000 x8  1 F 1.72
F 0.1207 0.1661 0.1358 x16  1 Hg 2.04
F 0.2061 0.0956 0.3681 x16  1 Hg 2.03

Total moment: 2.779 Bohr magnetons per cell
Raw formation energy: -1.4220 eV per atom
Final energy: -3.078 eV per atom

---

Entry 4:
K2TaSb: optimized geometry, PBE.

a b c (Å): 12.8382 12.8382 5.3995
angles (deg): 90.00 90.00 90.00
Last column: nearest neighbours and their distance in Å.
Space group I-42d (No. 122)
Asymmetric unit:
K 0.0834 0.2500 0.1250 x8  2 Sb 3.45
Ta 0.0000 0.0000 0.5000 x4  2 Sb 2.70
Sb 0.0000 0.0000 0.0000 x4  2 Ta 2.70

Total moment: 11.783 Bohr magnetons per cell
Raw formation energy: 0.7895 eV per atom
Final energy: -3.753 eV per atom

---

Entry 5:
MgTlRh: optimized geometry, PBE.

a b c (Å): 6.3737 6.3737 6.3737
angles (deg): 90.00 90.00 90.00
Last column: nearest neighbours and their distance in Å.
Space group F-43m (No. 216)
Asymmetric unit:
Mg 0.0000 0.0000 0.0000 x4  4 Rh 2.76
Tl 0.0000 0.0000 0.5000 x4  4 Rh 2.76
Rh 0.2500 0.2500 0.7500 x4  4 Tl 2.76, 4 Mg 2.76

Energy relative to the elements: -0.36 eV/f.u.
Total moment: 0.000 Bohr magnetons per cell
Final energy: -3.892 eV per atom

---

Entry 6:
ThNpTc2: optimized geometry, PBE.

a b c (Å): 3.3267 3.3267 25.9322
angles (deg): 90.00 90.00 120.00
Last column: nearest neighbours and their distance in Å.
Space group R-3m (No. 166, hexagonal axes)
Asymmetric unit:
Th 0.0000 0.0000 0.0000 x3  6 Tc 3.24, 6 Th 3.33
Np 0.0000 0.0000 0.5000 x3  6 Tc 2.57
Tc 0.0000 0.0000 0.2325 x6  3 Np 2.57

Energy relative to the elements: 0.99 eV/f.u.
Total moment: 0.001 Bohr magnetons per cell
Final energy: -10.025 eV per atom
ΔE to the lowest computed polymorph: 176 meV/atom

---

Entry 7:
Be2P: optimized geometry, PBE.

a b c (Å): 2.4587 17.3030 3.6612
angles (deg): 90.00 90.00 90.00
Last column: nearest neighbours and their distance in Å.
Space group Cmcm (No. 63)
Asymmetric unit:
Be 0.0000 0.0359 0.2500 x4  10 Be 2.21-2.46, 2 P 2.29
Be 0.0000 0.4232 0.2500 x4  2 P 2.20, 8 Be 2.31-2.46
P 0.0000 0.3523 0.7500 x4  4 Be 2.20-2.29, 2 P 2.46

Energy relative to the elements: 0.25 eV/f.u.
Total moment: 0.000 Bohr magnetons per cell
Final energy: -4.205 eV per atom
ΔE to the lowest computed polymorph: 218 meV/atom

---

Entry 8:
Dy6Ho5Th2: optimized geometry, PBE.

a b c (Å): 11.4931 20.4752 3.5532
angles (deg): 90.00 90.00 90.00
Last column: nearest neighbours and their distance in Å.
Space group Pbam (No. 55)
Asymmetric unit:
Dy 0.0669 0.1450 0.0000 x4  1 Th 3.37, 4 Dy 3.41-3.55, 6 Ho 3.47-3.60
Dy 0.0750 0.4345 0.0000 x4  5 Dy 3.19-3.55, 4 Ho 3.44-3.55
Dy 0.1840 0.8765 0.5000 x4  2 Ho 3.29-3.30, 6 Dy 3.41-3.55, 2 Th 3.46
Ho 0.0000 0.0000 0.5000 x2  6 Dy 3.30-3.54, 2 Ho 3.55
Ho 0.0742 0.2904 0.5000 x4  5 Dy 3.29-3.47, 4 Th 3.48-3.51, 2 Ho 3.55
Ho 0.1924 0.5737 0.5000 x4  3 Ho 3.55-3.84, 6 Dy 3.55-3.62, 2 Th 3.69
Th 0.1836 0.7317 0.0000 x4  3 Dy 3.37-3.46, 6 Ho 3.48-3.69, 2 Th 3.55

Energy relative to the elements: 1.45 eV/f.u.
Total moment: 0.000 Bohr magnetons per cell
Final energy: -4.915 eV per atom